No. 1
## Pm2Y2Pt3 (PBE-GGA)

Data for a relaxed structure of Pm2Y2Pt3.

* formation energy from the elements: -1039 meV per atom
* total DFT energy (no corrections): -6.8320 eV per atom
* calculated volume: 348.1 Å³ per cell
* size of the total moment: 0.0 μB/f.u.

Geometry as POSCAR:
```
Pm2Y2Pt3
1.0
-4.431 4.431 4.431
4.431 -4.431 4.431
4.431 4.431 -4.431
Pm Y Pt
4 4 6
Direct
0.000 0.375 0.500 Pm
0.125 0.125 0.125 Pm
0.375 0.500 0.000 Pm
0.500 0.000 0.375 Pm
0.000 0.876 0.500 Y
0.500 0.000 0.876 Y
0.624 0.624 0.624 Y
0.876 0.500 0.000 Y
0.117 0.750 0.867 Pt
0.250 0.633 0.383 Pt
0.383 0.250 0.633 Pt
0.633 0.383 0.250 Pt
0.750 0.867 0.117 Pt
0.867 0.117 0.750 Pt
```


No. 2
## Tm2Sc2Se2S3 (PBE-GGA)

Data for a relaxed structure of Tm2Sc2Se2S3.

* energy relative to the elements, uncorrected: -1.582 eV/atom
* total DFT energy (no corrections): -6.1324 eV per atom
* calculated volume: 189.2 Å³ per cell
* size of the total moment: 0.0 μB/f.u.

Geometry as POSCAR:
```
Tm2Sc2Se2S3
1.0
-2.554 2.554 7.251
2.554 -2.554 7.251
2.554 2.554 -7.251
Tm Sc Se S
2 2 2 3
Direct
0.196 0.196 0.000 Tm
0.804 0.804 0.000 Tm
0.000 0.500 0.500 Sc
0.500 0.000 0.500 Sc
0.397 0.397 0.000 Se
0.603 0.603 0.000 Se
0.000 0.000 0.000 S
0.250 0.750 0.500 S
0.750 0.250 0.500 S
```


No. 3
## Na4SbTe5 (PBE-GGA)

Data for a relaxed structure of Na4SbTe5.

* energy relative to the elements, uncorrected: -0.439 eV/atom
* total DFT energy (no corrections): -2.9499 eV per atom
* calculated volume: 338.4 Å³ per cell
* size of the total moment: 0.0 μB/f.u.

Geometry as POSCAR:
```
Na4SbTe5
1.0
-5.076 5.076 3.283
5.076 -5.076 3.283
5.076 5.076 -3.283
Na Sb Te
4 1 5
Direct
0.105 0.291 0.397 Na
0.291 0.895 0.186 Na
0.709 0.105 0.814 Na
0.895 0.709 0.603 Na
0.576 0.576 0.000 Sb
0.226 0.574 0.807 Te
0.419 0.226 0.652 Te
0.574 0.767 0.348 Te
0.767 0.419 0.193 Te
0.997 0.997 0.000 Te
```


No. 4
## Tb2SmAl (PBE-GGA)

Data for a relaxed structure of Tb2SmAl.

* formation energy from the elements: 98 meV per atom
* total DFT energy (no corrections): -4.3326 eV per atom
* calculated volume: 121.4 Å³ per cell
* size of the total moment: 0.0 μB/f.u.
* ΔE to the lowest computed polymorph: 0.291 eV/atom

Geometry as POSCAR:
```
Tb2SmAl
1.0
1.740 1.004 11.583
-1.740 1.004 11.583
0.000 -2.009 11.583
Tb Sm Al
2 1 1
Direct
0.101 0.101 0.101 Tb
0.899 0.899 0.899 Tb
0.000 0.000 0.000 Sm
0.500 0.500 0.500 Al
```


No. 5
## Tc2PbC (PBE-GGA)

Data for a relaxed structure of Tc2PbC.

* formation energy from the elements: 1699 meV per atom
* total DFT energy (no corrections): -6.7171 eV per atom
* calculated volume: 59.7 Å³ per cell
* size of the total moment: 0.0 μB/f.u.

Geometry as POSCAR:
```
Tc2PbC
1.0
0.000 3.102 3.102
3.102 0.000 3.102
3.102 3.102 0.000
Tc Pb C
2 1 1
Direct
0.250 0.250 0.250 Tc
0.750 0.750 0.750 Tc
0.000 0.000 0.000 Pb
0.500 0.500 0.500 C
```


No. 6
## Li7Dy3Hg4 (PBE-GGA)

Data for a relaxed structure of Li7Dy3Hg4.

* formation energy from the elements: -256 meV per atom
* total DFT energy (no corrections): -2.2850 eV per atom
* calculated volume: 291.6 Å³ per cell
* size of the total moment: 0.0 μB/f.u.

Geometry as POSCAR:
```
Li7Dy3Hg4
1.0
8.043 -2.412 0.000
8.043 2.412 0.000
-5.096 0.000 7.515
Li Dy Hg
7 3 4
Direct
0.000 0.000 0.000 Li
0.143 0.143 0.942 Li
0.344 0.344 0.491 Li
0.494 0.494 0.825 Li
0.506 0.506 0.175 Li
0.656 0.656 0.509 Li
0.857 0.857 0.058 Li
0.000 0.000 0.500 Dy
0.275 0.275 0.773 Dy
0.725 0.725 0.227 Dy
0.138 0.138 0.341 Hg
0.351 0.351 0.204 Hg
0.649 0.649 0.796 Hg
0.862 0.862 0.659 Hg
```


No. 7
## Na3NbRh3Se8 (PBE-GGA)

Data for a relaxed structure of Na3NbRh3Se8.

* energy relative to the elements, uncorrected: -0.646 eV/atom
* total DFT energy (no corrections): -4.9096 eV per atom
* calculated volume: 336.8 Å³ per cell
* size of the total moment: 0.8 μB/f.u.

Geometry as POSCAR:
```
Na3NbRh3Se8
1.0
6.535 -3.765 0.000
6.535 3.765 0.000
-4.365 0.000 6.844
Na Nb Rh Se
3 1 3 8
Direct
0.000 0.000 0.000 Na
0.000 0.500 0.000 Na
0.500 0.000 0.000 Na
0.000 0.000 0.500 Nb
0.000 0.500 0.500 Rh
0.500 0.000 0.500 Rh
0.500 0.500 0.500 Rh
0.240 0.240 0.702 Se
0.240 0.722 0.702 Se
0.271 0.271 0.312 Se
0.278 0.760 0.298 Se
0.722 0.240 0.702 Se
0.729 0.729 0.688 Se
0.760 0.278 0.298 Se
0.760 0.760 0.298 Se
```


No. 8
## KMo2W (PBE-GGA)

Data for a relaxed structure of KMo2W.

* formation energy from the elements: 1718 meV per atom
* total DFT energy (no corrections): -7.2105 eV per atom
* calculated volume: 74.3 Å³ per cell
* size of the total moment: 0.0 μB/f.u.
* ΔE to the lowest computed polymorph: 0.969 eV/atom

Geometry as POSCAR:
```
KMo2W
1.0
2.661 0.000 0.000
0.000 5.203 0.000
0.000 0.000 5.369
K Mo W
1 2 1
Direct
0.000 0.000 0.000 K
0.000 0.500 0.500 Mo
0.500 0.500 0.000 Mo
0.500 0.000 0.500 W
```


No. 9
## GeWI2 (PBE-GGA)

Data for a relaxed structure of GeWI2.

* energy relative to the elements, uncorrected: 0.609 eV/atom
* total DFT energy (no corrections): -4.5584 eV per atom
* calculated volume: 251.5 Å³ per cell
* size of the total moment: 1.7 μB/f.u.
* ΔE to the lowest computed polymorph: 0.000 eV/atom

Geometry as POSCAR:
```
GeWI2
1.0
-5.015 5.015 2.500
5.015 -5.015 2.500
5.015 5.015 -2.500
Ge W I
2 2 4
Direct
0.000 0.000 0.000 Ge
0.750 0.250 0.500 Ge
0.250 0.750 0.500 W
0.500 0.500 0.000 W
0.271 0.625 0.146 I
0.375 0.521 0.646 I
0.479 0.125 0.854 I
0.875 0.729 0.354 I
```


No. 10
## SrNd3Tl2 (PBE-GGA)

Data for a relaxed structure of SrNd3Tl2.

* formation energy from the elements: -273 meV per atom
* total DFT energy (no corrections): -3.7259 eV per atom
* calculated volume: 391.4 Å³ per cell
* size of the total moment: 0.6 μB/f.u.
* ΔE to the lowest computed polymorph: 0.000 eV/atom

Geometry as POSCAR:
```
SrNd3Tl2
1.0
5.575 0.000 0.000
0.000 9.772 0.000
0.000 0.000 7.185
Sr Nd Tl
2 6 4
Direct
0.000 0.025 0.000 Sr
0.000 0.975 0.500 Sr
0.000 0.336 0.716 Nd
0.000 0.664 0.216 Nd
0.500 0.173 0.278 Nd
0.500 0.479 0.991 Nd
0.500 0.521 0.491 Nd
0.500 0.827 0.778 Nd
0.000 0.338 0.244 Tl
0.000 0.662 0.744 Tl
0.500 0.165 0.749 Tl
0.500 0.835 0.249 Tl
```


No. 11
## AcLaPr2N4 (PBE-GGA)

Data for a relaxed structure of AcLaPr2N4.

* energy relative to the elements, uncorrected: -1.221 eV/atom
* total DFT energy (no corrections): -7.7079 eV per atom
* calculated volume: 150.9 Å³ per cell
* size of the total moment: 0.0 μB/f.u.

Geometry as POSCAR:
```
AcLaPr2N4
1.0
6.514 0.000 0.000
0.000 3.760 0.000
-2.169 0.000 6.160
Ac La Pr N
1 1 2 4
Direct
0.000 0.000 0.000 Ac
0.500 0.500 0.000 La
0.000 0.500 0.500 Pr
0.500 0.000 0.500 Pr
0.252 0.000 0.745 N
0.257 0.500 0.258 N
0.743 0.500 0.742 N
0.748 0.000 0.255 N
```


No. 12
## CdIn2Se2S2 (PBE-GGA)

Data for a relaxed structure of CdIn2Se2S2.

* energy relative to the elements, uncorrected: -0.558 eV/atom
* total DFT energy (no corrections): -3.6458 eV per atom
* calculated volume: 360.1 Å³ per cell
* size of the total moment: 0.0 μB/f.u.

Geometry as POSCAR:
```
CdIn2Se2S2
1.0
0.000 5.647 5.647
5.647 0.000 5.647
5.647 5.647 0.000
Cd In Se S
2 4 4 4
Direct
0.000 0.000 0.000 Cd
0.250 0.250 0.250 Cd
0.115 0.628 0.628 In
0.628 0.115 0.628 In
0.628 0.628 0.115 In
0.628 0.628 0.628 In
0.384 0.384 0.384 Se
0.384 0.384 0.847 Se
0.384 0.847 0.384 Se
0.847 0.384 0.384 Se
0.406 0.865 0.865 S
0.865 0.406 0.865 S
0.865 0.865 0.406 S
0.865 0.865 0.865 S
```


No. 13
## V6AgS8 (PBE-GGA)

Data for a relaxed structure of V6AgS8.

* energy relative to the elements, uncorrected: -0.835 eV/atom
* total DFT energy (no corrections): -6.8741 eV per atom
* calculated volume: 255.9 Å³ per cell
* size of the total moment: 0.1 μB/f.u.

Geometry as POSCAR:
```
V6AgS8
1.0
4.557 2.631 3.557
-4.557 2.631 3.557
0.000 -5.262 3.557
V Ag S
6 1 8
Direct
0.208 0.551 0.405 V
0.405 0.208 0.551 V
0.449 0.595 0.792 V
0.551 0.405 0.208 V
0.595 0.792 0.449 V
0.792 0.449 0.595 V
0.000 0.000 0.000 Ag
0.134 0.396 0.727 S
0.227 0.227 0.227 S
0.273 0.866 0.604 S
0.396 0.727 0.134 S
0.604 0.273 0.866 S
0.727 0.134 0.396 S
0.773 0.773 0.773 S
0.866 0.604 0.273 S
```


No. 14
## ZrZn2Au (PBE-GGA)

Data for a relaxed structure of ZrZn2Au.

* formation energy from the elements: -79 meV per atom
* total DFT energy (no corrections): -3.6728 eV per atom
* calculated volume: 72.3 Å³ per cell
* size of the total moment: 0.0 μB/f.u.

Geometry as POSCAR:
```
ZrZn2Au
1.0
1.497 0.864 9.315
-1.497 0.864 9.315
0.000 -1.728 9.315
Zr Zn Au
1 2 1
Direct
0.000 0.000 0.000 Zr
0.245 0.245 0.245 Zn
0.755 0.755 0.755 Zn
0.500 0.500 0.500 Au
```


No. 15
## TaMoAu (PBE-GGA)

Data for a relaxed structure of TaMoAu.

* formation energy from the elements: 152 meV per atom
* total DFT energy (no corrections): -8.5014 eV per atom
* calculated volume: 52.4 Å³ per cell
* size of the total moment: 0.0 μB/f.u.
* ΔE to the lowest computed polymorph: 0.212 eV/atom

Geometry as POSCAR:
```
TaMoAu
1.0
-1.690 1.690 4.588
1.690 -1.690 4.588
1.690 1.690 -4.588
Ta Mo Au
1 1 1
Direct
0.000 0.000 0.000 Ta
0.644 0.644 0.000 Mo
0.321 0.321 0.000 Au
```


No. 16
## TeHBr (PBE-GGA)

Data for a relaxed structure of TeHBr.

* total DFT energy (no corrections): -2.7897 eV per atom
* calculated volume: 218.6 Å³ per cell
* size of the total moment: 0.0 μB/f.u.
* ΔE to the lowest computed polymorph: 0.000 eV/atom

Geometry as POSCAR:
```
TeHBr
1.0
3.799 0.000 0.000
0.018 4.776 0.000
1.884 0.894 12.048
Te H Br
2 2 2
Direct
0.035 0.265 0.440 Te
0.965 0.735 0.560 Te
0.144 0.390 0.806 H
0.856 0.610 0.194 H
0.418 0.229 0.850 Br
0.582 0.771 0.150 Br
```


No. 17
## K2Cu (PBE-GGA)

Data for a relaxed structure of K2Cu.

* formation energy from the elements: 326 meV per atom
* total DFT energy (no corrections): -1.7707 eV per atom
* calculated volume: 492.6 Å³ per cell
* size of the total moment: 0.0 μB/f.u.
* ΔE to the lowest computed polymorph: 0.017 eV/atom

Geometry as POSCAR:
```
K2Cu
1.0
8.662 0.000 0.000
0.000 5.298 0.000
0.000 0.000 10.733
K Cu
8 4
Direct
0.024 0.250 0.172 K
0.151 0.250 0.569 K
0.349 0.750 0.069 K
0.476 0.750 0.672 K
0.524 0.250 0.328 K
0.651 0.250 0.931 K
0.849 0.750 0.431 K
0.976 0.750 0.828 K
0.249 0.750 0.378 Cu
0.251 0.250 0.878 Cu
0.749 0.750 0.122 Cu
0.751 0.250 0.622 Cu
```


No. 18
## Ta2AlCu (PBE-GGA)

Data for a relaxed structure of Ta2AlCu.

* formation energy from the elements: -71 meV per atom
* total DFT energy (no corrections): -7.9566 eV per atom
* calculated volume: 64.0 Å³ per cell
* size of the total moment: 0.0 μB/f.u.

Geometry as POSCAR:
```
Ta2AlCu
1.0
3.980 0.000 0.000
0.000 3.980 0.000
0.000 0.000 4.043
Ta Al Cu
2 1 1
Direct
0.000 0.500 0.000 Ta
0.500 0.000 0.000 Ta
0.000 0.000 0.500 Al
0.500 0.500 0.500 Cu
```


No. 19
## CaBi2Pd4 (PBE-GGA)

Data for a relaxed structure of CaBi2Pd4.

* formation energy from the elements: -427 meV per atom
* total DFT energy (no corrections): -4.7888 eV per atom
* calculated volume: 297.0 Å³ per cell
* size of the total moment: 0.0 μB/f.u.
* ΔE to the lowest computed polymorph: 0.000 eV/atom

Geometry as POSCAR:
```
CaBi2Pd4
1.0
8.159 0.000 0.000
0.000 8.159 0.000
0.000 0.000 4.461
Ca Bi Pd
2 4 8
Direct
0.000 0.000 0.000 Ca
0.500 0.500 0.500 Ca
0.214 0.214 0.500 Bi
0.286 0.714 0.000 Bi
0.714 0.286 0.000 Bi
0.786 0.786 0.500 Bi
0.100 0.640 0.500 Pd
0.140 0.400 0.000 Pd
0.360 0.900 0.500 Pd
0.400 0.140 0.000 Pd
0.600 0.860 0.000 Pd
0.640 0.100 0.500 Pd
0.860 0.600 0.000 Pd
0.900 0.360 0.500 Pd
```


No. 20
## Ta8Os2N (PBE-GGA)

Data for a relaxed structure of Ta8Os2N.

* energy relative to the elements, uncorrected: -0.089 eV/atom
* total DFT energy (no corrections): -11.5079 eV per atom
* calculated volume: 183.8 Å³ per cell
* size of the total moment: 0.0 μB/f.u.

Geometry as POSCAR:
```
Ta8Os2N
1.0
7.398 -2.305 0.000
7.398 2.305 0.000
-1.601 0.000 5.389
Ta Os N
8 2 1
Direct
0.008 0.008 0.256 Ta
0.208 0.208 0.747 Ta
0.374 0.374 0.546 Ta
0.405 0.405 0.064 Ta
0.595 0.595 0.936 Ta
0.626 0.626 0.454 Ta
0.792 0.792 0.253 Ta
0.992 0.992 0.744 Ta
0.183 0.183 0.181 Os
0.817 0.817 0.819 Os
0.500 0.500 0.500 N
```


no.,calculated density (Mg/m³)
1,10.047
2,5.986
3,4.180
4,6.773
5,11.555
6,7.621
7,5.435
8,9.265
9,6.740
10,7.883
11,7.745
12,5.202
13,4.348
14,9.623
15,15.011
16,3.168
17,1.911
18,11.729
19,9.883
20,16.644